Entry 1:
# TiTe2Pd

A relaxed structure of TiTe2Pd (PBEsol, Alexandria).

Cell lengths 8.897, 8.897, 8.897 Å; angles 23.50, 23.50, 23.50 degrees
Atoms (fractional coordinates):
Ti (0.000, 0.000, 0.000)
Te (0.102, 0.102, 0.102)
Te (0.898, 0.898, 0.898)
Pd (0.500, 0.500, 0.500)

formation energy without anion corrections = 0.169 eV per atom
N(E_F) = 5.24 states/eV per cell
ΔE to the lowest computed polymorph = 427 meV/atom

=====

Entry 2:
# In2FeIr

A relaxed structure of In2FeIr (PBEsol, Alexandria).

Cell lengths 3.011, 3.512, 6.043 Å; angles 90.00, 90.00, 90.00 degrees
Atoms (fractional coordinates):
In (0.000, 0.000, 0.245)
In (0.000, 0.000, 0.755)
Fe (0.500, 0.500, 0.000)
Ir (0.500, 0.500, 0.500)

energy of formation from the pure elements = 3.439 kcal/mol of atoms
N(E_F) = 4.13 states/eV per cell

=====

Entry 3:
# K2TlSe

A relaxed structure of K2TlSe (PBEsol, Alexandria).

Cell lengths 6.061, 6.061, 6.061 Å; angles 131.71, 131.52, 70.84 degrees
Atoms (fractional coordinates):
K (0.249, 0.249, 0.000)
K (0.751, 0.751, 0.000)
Tl (0.500, 0.000, 0.500)
Se (0.000, 0.500, 0.500)

formation energy without anion corrections = -0.481 eV per atom
N(E_F) = 0.34 states/eV per cell
ΔE to the lowest computed polymorph = 0 meV/atom